TaVRh | PBE-GGA | optimized geometry

Density, g/cm3: 11.98
Final energy, eV per atom: -9.676

Geometry as CIF:
```
data_TaVRh
_chemical_formula_sum 'Ta2 V2 Rh2'
_cell_length_a 5.175
_cell_length_b 5.175
_cell_length_c 4.476
_cell_angle_alpha 92.49
_cell_angle_beta 92.49
_cell_angle_gamma 128.93
_symmetry_space_group_name_H-M 'P 1'
_symmetry_Int_Tables_number 1
_symmetry_space_group_name_Hall 'P 1'
loop_
_atom_site_label
_atom_site_type_symbol
_atom_site_fract_x
_atom_site_fract_y
_atom_site_fract_z
Ta1 Ta 0.092 0.908 0.750
Ta2 Ta 0.908 0.092 0.250
V1 V 0.429 0.571 0.750
V2 V 0.571 0.429 0.250
Rh1 Rh 0.247 0.753 0.250
Rh2 Rh 0.753 0.247 0.750
```

***

TeI3O | PBE-GGA | optimized geometry

Formation energy from raw total energies, meV per atom: 624
Density, g/cm3: 4.05
Final energy, eV per atom: -1.926

Geometry as CIF:
```
data_TeI3O
_chemical_formula_sum 'Te1 I3 O1'
_cell_length_a 5.990
_cell_length_b 5.990
_cell_length_c 5.990
_cell_angle_alpha 90.00
_cell_angle_beta 90.00
_cell_angle_gamma 90.00
_symmetry_space_group_name_H-M 'P 1'
_symmetry_Int_Tables_number 1
_symmetry_space_group_name_Hall 'P 1'
loop_
_atom_site_label
_atom_site_type_symbol
_atom_site_fract_x
_atom_site_fract_y
_atom_site_fract_z
Te1 Te 0.000 0.000 0.000
I1 I 0.000 0.000 0.500
I2 I 0.000 0.500 0.000
I3 I 0.500 0.000 0.000
O1 O 0.500 0.500 0.500
```

***

NaInNi | PBE-GGA | optimized geometry

Density, g/cm3: 5.45
Final energy, eV per atom: -3.208

Geometry as CIF:
```
data_NaInNi
_chemical_formula_sum 'Na3 In3 Ni3'
_cell_length_a 4.820
_cell_length_b 6.559
_cell_length_c 6.559
_cell_angle_alpha 120.01
_cell_angle_beta 90.00
_cell_angle_gamma 90.00
_symmetry_space_group_name_H-M 'P 1'
_symmetry_Int_Tables_number 1
_symmetry_space_group_name_Hall 'P 1'
loop_
_atom_site_label
_atom_site_type_symbol
_atom_site_fract_x
_atom_site_fract_y
_atom_site_fract_z
Na1 Na 0.000 0.000 0.000
Na2 Na 0.000 0.064 0.533
Na3 Na 0.000 0.533 0.064
In1 In 0.000 0.532 0.532
In2 In 0.500 0.200 0.866
In3 In 0.500 0.866 0.200
Ni1 Ni 0.500 0.318 0.318
Ni2 Ni 0.500 0.533 0.748
Ni3 Ni 0.500 0.748 0.533
```

***

Tb2Cd2Hg | PBE-GGA | optimized geometry

Density, g/cm3: 9.80
Final energy, eV per atom: -2.577

Geometry as CIF:
```
data_Tb2Cd2Hg
_chemical_formula_sum 'Tb2 Cd2 Hg1'
_cell_length_a 8.037
_cell_length_b 8.037
_cell_length_c 3.429
_cell_angle_alpha 90.00
_cell_angle_beta 90.00
_cell_angle_gamma 145.33
_symmetry_space_group_name_H-M 'P 1'
_symmetry_Int_Tables_number 1
_symmetry_space_group_name_Hall 'P 1'
loop_
_atom_site_label
_atom_site_type_symbol
_atom_site_fract_x
_atom_site_fract_y
_atom_site_fract_z
Tb1 Tb 0.112 0.888 0.000
Tb2 Tb 0.888 0.112 0.000
Cd1 Cd 0.300 0.700 0.500
Cd2 Cd 0.700 0.300 0.500
Hg1 Hg 0.500 0.500 0.500
```

***

PmCdAg2 | PBE-GGA | optimized geometry

Density, g/cm3: 8.65
Final energy, eV per atom: -3.008

Geometry as CIF:
```
data_PmCdAg2
_chemical_formula_sum 'Pm1 Cd1 Ag2'
_cell_length_a 3.567
_cell_length_b 3.567
_cell_length_c 7.135
_cell_angle_alpha 90.00
_cell_angle_beta 90.00
_cell_angle_gamma 90.00
_symmetry_space_group_name_H-M 'P 1'
_symmetry_Int_Tables_number 1
_symmetry_space_group_name_Hall 'P 1'
loop_
_atom_site_label
_atom_site_type_symbol
_atom_site_fract_x
_atom_site_fract_y
_atom_site_fract_z
Pm1 Pm 0.000 0.000 0.000
Cd1 Cd 0.000 0.000 0.500
Ag1 Ag 0.500 0.500 0.278
Ag2 Ag 0.500 0.500 0.722
```

***

MgPdS | PBE-GGA | optimized geometry

Formation energy from raw total energies, meV per atom: -741
Density, g/cm3: 4.96
Final energy, eV per atom: -4.379

Geometry as CIF:
```
data_MgPdS
_chemical_formula_sum 'Mg2 Pd2 S2'
_cell_length_a 4.820
_cell_length_b 4.820
_cell_length_c 7.802
_cell_angle_alpha 119.89
_cell_angle_beta 119.89
_cell_angle_gamma 45.61
_symmetry_space_group_name_H-M 'P 1'
_symmetry_Int_Tables_number 1
_symmetry_space_group_name_Hall 'P 1'
loop_
_atom_site_label
_atom_site_type_symbol
_atom_site_fract_x
_atom_site_fract_y
_atom_site_fract_z
Mg1 Mg 0.242 0.242 0.207
Mg2 Mg 0.758 0.758 0.793
Pd1 Pd 0.375 0.375 0.616
Pd2 Pd 0.625 0.625 0.384
S1 S 0.068 0.068 0.816
S2 S 0.932 0.932 0.184
```

***

Mg7In2Rh2 | PBE-GGA | optimized geometry

Density, g/cm3: 4.54
Final energy, eV per atom: -3.120

Geometry as CIF:
```
data_Mg7In2Rh2
_chemical_formula_sum 'Mg7 In2 Rh2'
_cell_length_a 7.502
_cell_length_b 7.502
_cell_length_c 4.473
_cell_angle_alpha 107.33
_cell_angle_beta 107.33
_cell_angle_gamma 71.01
_symmetry_space_group_name_H-M 'P 1'
_symmetry_Int_Tables_number 1
_symmetry_space_group_name_Hall 'P 1'
loop_
_atom_site_label
_atom_site_type_symbol
_atom_site_fract_x
_atom_site_fract_y
_atom_site_fract_z
Mg1 Mg 0.000 0.000 0.000
Mg2 Mg 0.135 0.590 0.863
Mg3 Mg 0.166 0.166 0.665
Mg4 Mg 0.410 0.865 0.137
Mg5 Mg 0.590 0.135 0.863
Mg6 Mg 0.834 0.834 0.335
Mg7 Mg 0.865 0.410 0.137
In1 In 0.363 0.363 0.364
In2 In 0.637 0.637 0.636
Rh1 Rh 0.219 0.781 0.500
Rh2 Rh 0.781 0.219 0.500
```

***

SrPrMg2Cd4 | PBE-GGA | optimized geometry

Density, g/cm3: 5.83
Final energy, eV per atom: -1.948

Geometry as CIF:
```
data_SrPrMg2Cd4
_chemical_formula_sum 'Sr1 Pr1 Mg2 Cd4'
_cell_length_a 9.180
_cell_length_b 9.180
_cell_length_c 9.180
_cell_angle_alpha 33.26
_cell_angle_beta 33.26
_cell_angle_gamma 33.26
_symmetry_space_group_name_H-M 'P 1'
_symmetry_Int_Tables_number 1
_symmetry_space_group_name_Hall 'P 1'
loop_
_atom_site_label
_atom_site_type_symbol
_atom_site_fract_x
_atom_site_fract_y
_atom_site_fract_z
Sr1 Sr 0.000 0.000 0.000
Pr1 Pr 0.500 0.500 0.500
Mg1 Mg 0.248 0.248 0.248
Mg2 Mg 0.752 0.752 0.752
Cd1 Cd 0.125 0.125 0.125
Cd2 Cd 0.377 0.377 0.377
Cd3 Cd 0.623 0.623 0.623
Cd4 Cd 0.875 0.875 0.875
```

***

Cs2KInH | PBE-GGA | optimized geometry

Density, g/cm3: 3.18
Final energy, eV per atom: -1.761

Geometry as CIF:
```
data_Cs2KInH
_chemical_formula_sum 'Cs2 K1 In1 H1'
_cell_length_a 6.352
_cell_length_b 6.352
_cell_length_c 5.439
_cell_angle_alpha 90.00
_cell_angle_beta 90.00
_cell_angle_gamma 90.00
_symmetry_space_group_name_H-M 'P 1'
_symmetry_Int_Tables_number 1
_symmetry_space_group_name_Hall 'P 1'
loop_
_atom_site_label
_atom_site_type_symbol
_atom_site_fract_x
_atom_site_fract_y
_atom_site_fract_z
Cs1 Cs 0.000 0.500 0.000
Cs2 Cs 0.500 0.000 0.000
K1 K 0.000 0.000 0.500
In1 In 0.500 0.500 0.500
H1 H 0.000 0.000 0.000
```

***

Ce3Si4Au7 | PBE-GGA | optimized geometry

Formation energy from raw total energies, meV per atom: -552
Density, g/cm3: 11.48
Final energy, eV per atom: -5.011

Geometry as CIF:
```
data_Ce3Si4Au7
_chemical_formula_sum 'Ce3 Si4 Au7'
_cell_length_a 8.481
_cell_length_b 8.481
_cell_length_c 9.413
_cell_angle_alpha 123.69
_cell_angle_beta 123.69
_cell_angle_gamma 29.93
_symmetry_space_group_name_H-M 'P 1'
_symmetry_Int_Tables_number 1
_symmetry_space_group_name_Hall 'P 1'
loop_
_atom_site_label
_atom_site_type_symbol
_atom_site_fract_x
_atom_site_fract_y
_atom_site_fract_z
Ce1 Ce 0.000 0.000 0.000
Ce2 Ce 0.307 0.307 0.300
Ce3 Ce 0.693 0.693 0.700
Si1 Si 0.130 0.130 0.846
Si2 Si 0.336 0.336 0.715
Si3 Si 0.664 0.664 0.285
Si4 Si 0.870 0.870 0.154
Au1 Au 0.000 0.000 0.500
Au2 Au 0.157 0.157 0.419
Au3 Au 0.332 0.332 0.975
Au4 Au 0.488 0.488 0.698
Au5 Au 0.512 0.512 0.302
Au6 Au 0.668 0.668 0.025
Au7 Au 0.843 0.843 0.581
```

***

TmMgNi | PBE-GGA | optimized geometry

Density, g/cm3: 6.94
Final energy, eV per atom: -4.288

Geometry as CIF:
```
data_TmMgNi
_chemical_formula_sum 'Tm2 Mg2 Ni2'
_cell_length_a 5.363
_cell_length_b 5.363
_cell_length_c 7.516
_cell_angle_alpha 119.11
_cell_angle_beta 119.11
_cell_angle_gamma 40.69
_symmetry_space_group_name_H-M 'P 1'
_symmetry_Int_Tables_number 1
_symmetry_space_group_name_Hall 'P 1'
loop_
_atom_site_label
_atom_site_type_symbol
_atom_site_fract_x
_atom_site_fract_y
_atom_site_fract_z
Tm1 Tm 0.076 0.076 0.347
Tm2 Tm 0.924 0.924 0.653
Mg1 Mg 0.324 0.324 0.925
Mg2 Mg 0.676 0.676 0.075
Ni1 Ni 0.367 0.367 0.341
Ni2 Ni 0.633 0.633 0.659
```

***

Cd2SeI2 | PBE-GGA | optimized geometry

Formation energy from raw total energies, meV per atom: -437
Density, g/cm3: 5.28
Final energy, eV per atom: -2.120

Geometry as CIF:
```
data_Cd2SeI2
_chemical_formula_sum 'Cd4 Se2 I4'
_cell_length_a 7.293
_cell_length_b 7.293
_cell_length_c 12.436
_cell_angle_alpha 90.00
_cell_angle_beta 90.00
_cell_angle_gamma 147.94
_symmetry_space_group_name_H-M 'P 1'
_symmetry_Int_Tables_number 1
_symmetry_space_group_name_Hall 'P 1'
loop_
_atom_site_label
_atom_site_type_symbol
_atom_site_fract_x
_atom_site_fract_y
_atom_site_fract_z
Cd1 Cd 0.056 0.944 0.500
Cd2 Cd 0.271 0.729 0.639
Cd3 Cd 0.729 0.271 0.139
Cd4 Cd 0.944 0.056 0.000
Se1 Se 0.363 0.637 0.121
Se2 Se 0.637 0.363 0.621
I1 I 0.115 0.885 0.273
I2 I 0.395 0.605 0.453
I3 I 0.605 0.395 0.953
I4 I 0.885 0.115 0.773
```

***

Nd2Sn4Rh | PBE-GGA | optimized geometry

Density, g/cm3: 7.06
Final energy, eV per atom: -5.023

Geometry as CIF:
```
data_Nd2Sn4Rh
_chemical_formula_sum 'Nd2 Sn4 Rh1'
_cell_length_a 8.874
_cell_length_b 8.874
_cell_length_c 8.874
_cell_angle_alpha 147.24
_cell_angle_beta 147.24
_cell_angle_gamma 47.00
_symmetry_space_group_name_H-M 'P 1'
_symmetry_Int_Tables_number 1
_symmetry_space_group_name_Hall 'P 1'
loop_
_atom_site_label
_atom_site_type_symbol
_atom_site_fract_x
_atom_site_fract_y
_atom_site_fract_z
Nd1 Nd 0.145 0.145 0.000
Nd2 Nd 0.855 0.855 0.000
Sn1 Sn 0.000 0.500 0.500
Sn2 Sn 0.334 0.334 0.000
Sn3 Sn 0.500 0.000 0.500
Sn4 Sn 0.666 0.666 0.000
Rh1 Rh 0.500 0.500 0.000
```

***

PrDy2Pd3 | PBE-GGA | optimized geometry

Density, g/cm3: 9.11
Final energy, eV per atom: -5.529

Geometry as CIF:
```
data_PrDy2Pd3
_chemical_formula_sum 'Pr2 Dy4 Pd6'
_cell_length_a 7.547
_cell_length_b 7.547
_cell_length_c 7.547
_cell_angle_alpha 109.78
_cell_angle_beta 89.75
_cell_angle_gamma 131.75
_symmetry_space_group_name_H-M 'P 1'
_symmetry_Int_Tables_number 1
_symmetry_space_group_name_Hall 'P 1'
loop_
_atom_site_label
_atom_site_type_symbol
_atom_site_fract_x
_atom_site_fract_y
_atom_site_fract_z
Pr1 Pr 0.499 0.249 0.250
Pr2 Pr 0.501 0.751 0.750
Dy1 Dy 0.166 0.750 0.417
Dy2 Dy 0.167 0.250 0.917
Dy3 Dy 0.833 0.750 0.083
Dy4 Dy 0.834 0.250 0.583
Pd1 Pd 0.000 0.000 0.500
Pd2 Pd 0.000 0.250 0.250
Pd3 Pd 0.000 0.500 0.000
Pd4 Pd 0.000 0.750 0.750
Pd5 Pd 0.500 0.250 0.750
Pd6 Pd 0.500 0.750 0.250
```

***

CsCeWN3 | PBE-GGA | optimized geometry

Formation energy from raw total energies, meV per atom: -625
Density, g/cm3: 6.95
Final energy, eV per atom: -8.078

Geometry as CIF:
```
data_CsCeWN3
_chemical_formula_sum 'Cs2 Ce2 W2 N6'
_cell_length_a 6.934
_cell_length_b 6.934
_cell_length_c 9.670
_cell_angle_alpha 105.85
_cell_angle_beta 105.85
_cell_angle_gamma 32.34
_symmetry_space_group_name_H-M 'P 1'
_symmetry_Int_Tables_number 1
_symmetry_space_group_name_Hall 'P 1'
loop_
_atom_site_label
_atom_site_type_symbol
_atom_site_fract_x
_atom_site_fract_y
_atom_site_fract_z
Cs1 Cs 0.146 0.146 0.075
Cs2 Cs 0.854 0.854 0.925
Ce1 Ce 0.155 0.155 0.564
Ce2 Ce 0.845 0.845 0.436
W1 W 0.497 0.497 0.692
W2 W 0.503 0.503 0.308
N1 N 0.009 0.009 0.347
N2 N 0.338 0.338 0.589
N3 N 0.356 0.356 0.285
N4 N 0.644 0.644 0.715
N5 N 0.662 0.662 0.411
N6 N 0.991 0.991 0.653
```

***

Co2HgTe | PBE-GGA | optimized geometry

Formation energy from raw total energies, meV per atom: 790
Density, g/cm3: 10.24
Final energy, eV per atom: -3.624

Geometry as CIF:
```
data_Co2HgTe
_chemical_formula_sum 'Co2 Hg1 Te1'
_cell_length_a 4.678
_cell_length_b 4.678
_cell_length_c 4.678
_cell_angle_alpha 60.00
_cell_angle_beta 60.00
_cell_angle_gamma 60.00
_symmetry_space_group_name_H-M 'P 1'
_symmetry_Int_Tables_number 1
_symmetry_space_group_name_Hall 'P 1'
loop_
_atom_site_label
_atom_site_type_symbol
_atom_site_fract_x
_atom_site_fract_y
_atom_site_fract_z
Co1 Co 0.000 0.000 0.000
Co2 Co 0.250 0.250 0.250
Hg1 Hg 0.750 0.750 0.750
Te1 Te 0.500 0.500 0.500
```

***

Th8ReTe4P3 | PBE-GGA | optimized geometry

Formation energy from raw total energies, meV per atom: -1155
Density, g/cm3: 9.51
Final energy, eV per atom: -7.443

Geometry as CIF:
```
data_Th8ReTe4P3
_chemical_formula_sum 'Th8 Re1 Te4 P3'
_cell_length_a 8.868
_cell_length_b 8.868
_cell_length_c 8.868
_cell_angle_alpha 57.24
_cell_angle_beta 57.24
_cell_angle_gamma 57.24
_symmetry_space_group_name_H-M 'P 1'
_symmetry_Int_Tables_number 1
_symmetry_space_group_name_Hall 'P 1'
loop_
_atom_site_label
_atom_site_type_symbol
_atom_site_fract_x
_atom_site_fract_y
_atom_site_fract_z
Th1 Th 0.236 0.236 0.236
Th2 Th 0.243 0.732 0.732
Th3 Th 0.268 0.268 0.757
Th4 Th 0.268 0.757 0.268
Th5 Th 0.732 0.243 0.732
Th6 Th 0.732 0.732 0.243
Th7 Th 0.757 0.268 0.268
Th8 Th 0.764 0.764 0.764
Re1 Re 0.500 0.500 0.500
Te1 Te 0.000 0.000 0.000
Te2 Te 0.000 0.500 0.500
Te3 Te 0.500 0.000 0.500
Te4 Te 0.500 0.500 0.000
P1 P 0.000 0.000 0.500
P2 P 0.000 0.500 0.000
P3 P 0.500 0.000 0.000
```

***

CsBaNa2Ag | PBE-GGA | optimized geometry

Density, g/cm3: 2.82
Final energy, eV per atom: -1.599

Geometry as CIF:
```
data_CsBaNa2Ag
_chemical_formula_sum 'Cs1 Ba1 Na2 Ag1'
_cell_length_a 6.254
_cell_length_b 6.254
_cell_length_c 6.394
_cell_angle_alpha 90.00
_cell_angle_beta 90.00
_cell_angle_gamma 90.00
_symmetry_space_group_name_H-M 'P 1'
_symmetry_Int_Tables_number 1
_symmetry_space_group_name_Hall 'P 1'
loop_
_atom_site_label
_atom_site_type_symbol
_atom_site_fract_x
_atom_site_fract_y
_atom_site_fract_z
Cs1 Cs 0.000 0.000 0.000
Ba1 Ba 0.500 0.500 0.000
Na1 Na 0.000 0.500 0.500
Na2 Na 0.500 0.000 0.500
Ag1 Ag 0.500 0.500 0.500
```

***

CdInN | PBE-GGA | optimized geometry

Formation energy from raw total energies, meV per atom: 353
Density, g/cm3: 6.70
Final energy, eV per atom: -3.640

Geometry as CIF:
```
data_CdInN
_chemical_formula_sum 'Cd2 In2 N2'
_cell_length_a 3.875
_cell_length_b 3.875
_cell_length_c 9.191
_cell_angle_alpha 90.00
_cell_angle_beta 90.00
_cell_angle_gamma 120.00
_symmetry_space_group_name_H-M 'P 1'
_symmetry_Int_Tables_number 1
_symmetry_space_group_name_Hall 'P 1'
loop_
_atom_site_label
_atom_site_type_symbol
_atom_site_fract_x
_atom_site_fract_y
_atom_site_fract_z
Cd1 Cd 0.000 0.000 0.000
Cd2 Cd 0.333 0.667 0.239
In1 In 0.000 0.000 0.500
In2 In 0.333 0.667 0.799
N1 N 0.000 0.000 0.252
N2 N 0.333 0.667 0.560
```

***

LaPmGdDy | PBE-GGA | optimized geometry

Density, g/cm3: 7.34
Final energy, eV per atom: -6.984

Geometry as CIF:
```
data_LaPmGdDy
_chemical_formula_sum 'La1 Pm1 Gd1 Dy1'
_cell_length_a 5.781
_cell_length_b 5.781
_cell_length_c 5.781
_cell_angle_alpha 60.00
_cell_angle_beta 60.00
_cell_angle_gamma 60.00
_symmetry_space_group_name_H-M 'P 1'
_symmetry_Int_Tables_number 1
_symmetry_space_group_name_Hall 'P 1'
loop_
_atom_site_label
_atom_site_type_symbol
_atom_site_fract_x
_atom_site_fract_y
_atom_site_fract_z
La1 La 0.000 0.000 0.000
Pm1 Pm 0.500 0.500 0.500
Gd1 Gd 0.750 0.750 0.750
Dy1 Dy 0.250 0.250 0.250
```